The following is a DFT calculation (PBE-GGA) of a relaxed structure of PuZnAg2O6.

Unit cell a=5.583 b=5.583 c=5.742 alpha=60.90 beta=60.90 gamma=59.99
Site moments in Bohr magnetons follow the coordinates.
Element x y z (fractional)
Pu: 0.316 0.316 0.051  1.17
Zn: 0.816 0.816 0.552  -0.02
Ag: 0.564 0.564 0.308  -0.11
Ag: 0.068 0.068 0.796  -0.11
O: 0.557 0.165 0.298  -0.11
O: 0.166 0.979 0.299  -0.10
O: 0.979 0.556 0.299  -0.11
O: 0.467 0.653 0.804  -0.10
O: 0.653 0.076 0.803  -0.11
O: 0.075 0.467 0.804  -0.11

Calculated values
V   128.21 Å³ per cell
E   -6.3384 eV per atom
Raw formation energy   -1233 meV per atom
Total magnetic moment   0.24 μB per formula unit
DOS at the Fermi energy   10.66 states/eV/f.u.